Entry from Alexandria via LeMat-Bulk: a relaxed Zr2TaPd crystal (PBE).

- ΔH_f (0 K) (eV per atom) = -0.317
- offset from the most stable computed form (meV/atom) = 0.0
- total magnetization (μB per atom) = 0.000
- density (g cm⁻³) = 9.95

a b c (Å): 3.3458 3.3458 7.0067
angles (deg): 90.00 90.00 90.00
Sites, in units of the cell vectors:
Zr1 0.0000 0.0000 0.2479
Zr2 0.0000 0.0000 0.7521
Ta1 0.5000 0.5000 0.5000
Pd1 0.5000 0.5000 0.0000